[1]
DFT (PBE) results for a relaxed H2PdRu2 crystal.

Cell lengths 5.147, 5.147, 3.962 Å; angles 90.00, 90.00, 90.00 degrees
Space group P4/mbm (No. 127)
One atom of each set of equivalent atoms:
H: 0.178 0.322 0.000
Pd: 0.000 0.000 0.000
Ru: 0.172 0.328 0.500

Results
**Relative energy among the computed polymorphs**: 0 meV/atom
**Size of the total moment**: 0.20 μB/atom


[2]
DFT (PBE) results for a relaxed CaSbOs2 crystal.

Cell lengths 7.741, 7.741, 5.711 Å; angles 90.00, 90.00, 90.00 degrees
Space group I-42d (No. 122)
One atom of each set of equivalent atoms:
Ca: 0.000 0.000 0.000
Sb: 0.000 0.000 0.500
Os: 0.195 0.750 0.625

Results
**Formation energy without anion corrections**: 922 meV/atom
**Size of the total moment**: 0.00 μB/atom


[3]
DFT (PBE) results for a relaxed HfSnH2 crystal.

Cell lengths 5.896, 5.896, 5.896 Å; angles 90.00, 90.00, 90.00 degrees
Space group Fm-3m (No. 225)
One atom of each set of equivalent atoms:
Hf: 0.000 0.000 0.000
Sn: 0.000 0.000 0.500
H: 0.250 0.250 0.250

Results
**Relative energy among the computed polymorphs**: 802 meV/atom
**Size of the total moment**: 0.00 μB/atom


[4]
DFT (PBE) results for a relaxed TbNd3Hg2 crystal.

Cell lengths 7.308, 14.913, 7.635 Å; angles 90.00, 90.00, 90.00 degrees
Space group Ibam (No. 72)
One atom of each set of equivalent atoms:
Tb: 0.000 0.000 0.000
Nd: 0.000 0.227 0.250
Nd: 0.000 0.500 0.250
Hg: 0.202 0.362 0.000

Results
**Relative energy among the computed polymorphs**: 254 meV/atom
**Formation energy from the elements**: -0.08 eV/atom
**Size of the total moment**: 0.00 μB/atom


[5]
DFT (PBE) results for a relaxed DyHo4Cd3 crystal.

Cell lengths 5.3112, 5.3112, 26.8837 Å; angles 90.00, 90.00, 120.00 degrees
Space group R-3m (No. 166, hexagonal axes)
One atom of each set of equivalent atoms:
Dy: 0.0000 0.0000 0.0000
Ho: 0.0000 0.0000 0.1297
Ho: 0.0000 0.0000 0.3860
Cd: 0.0000 0.0000 0.2597
Cd: 0.0000 0.0000 0.5000

Results
**Formation energy from the elements**: -0.17 eV/atom
**Size of the total moment**: 0.03 μB/atom


[6]
DFT (PBE) results for a relaxed Ho2Tl3Br9 crystal.

Cell lengths 13.7197, 13.7197, 19.3907 Å; angles 90.00, 90.00, 120.00 degrees
Space group R-3c (No. 167, hexagonal axes)
One atom of each set of equivalent atoms:
Ho: 0.0000 0.0000 0.1475
Tl: 0.0000 0.2895 0.2500
Br: 0.0000 0.1549 0.7500
Br: 0.0235 0.1894 0.4113

Results
**Formation energy without anion corrections**: -1419 meV/atom
**Size of the total moment**: 0.00 μB/atom


[7]
DFT (PBE) results for a relaxed Tm2I2O crystal.

Cell lengths 22.536, 3.924, 6.912 Å; angles 90.00, 95.05, 90.00 degrees
Space group C2/m (No. 12)
One atom of each set of equivalent atoms:
Tm: 0.189 0.000 0.380
Tm: 0.190 0.500 0.921
I: 0.091 0.500 0.206
I: 0.100 0.000 0.700
O: 0.213 0.000 0.077

Results
**Relative energy among the computed polymorphs**: 0 meV/atom
**Formation energy without anion corrections**: -1929 meV/atom
**Size of the total moment**: 0.16 μB/atom


[8]
DFT (PBE) results for a relaxed BeCd2Hg crystal.

Cell lengths 3.053, 3.053, 8.363 Å; angles 90.00, 90.00, 90.00 degrees
Space group P4/mmm (No. 123)
One atom of each set of equivalent atoms:
Be: 0.000 0.000 0.000
Cd: 0.500 0.500 0.190
Hg: 0.000 0.000 0.500

Results
**Relative energy among the computed polymorphs**: 56 meV/atom
**Formation energy from the elements**: 0.26 eV/atom
**Size of the total moment**: 0.00 μB/atom


[9]
DFT (PBE) results for a relaxed Rb2TiCoCl6 crystal.

Cell lengths 7.313, 7.313, 9.094 Å; angles 90.00, 90.00, 90.00 degrees
Space group I4/mmm (No. 139)
One atom of each set of equivalent atoms:
Rb: 0.000 0.500 0.250
Ti: 0.000 0.000 0.000
Co: 0.000 0.000 0.500
Cl: 0.000 0.000 0.257
Cl: 0.241 0.241 0.000

Results
**Formation energy without anion corrections**: -1358 meV/atom
**Size of the total moment**: 0.23 μB/atom


[10]
DFT (PBE) results for a relaxed AsIr2W crystal.

Cell lengths 3.908, 3.908, 4.003 Å; angles 90.00, 90.00, 90.00 degrees
Space group P4/mmm (No. 123)
One atom of each set of equivalent atoms:
As: 0.000 0.000 0.000
Ir: 0.000 0.500 0.500
W: 0.500 0.500 0.000

Results
**Formation energy from the elements**: 0.33 eV/atom
**Size of the total moment**: 0.13 μB/atom


[11]
DFT (PBE) results for a relaxed LaAg3Ru crystal.

Cell lengths 5.454, 5.454, 5.454 Å; angles 90.00, 90.00, 90.00 degrees
Space group Pm-3m (No. 221)
One atom of each set of equivalent atoms:
La: 0.000 0.000 0.000
Ag: 0.000 0.000 0.500
Ru: 0.500 0.500 0.500

Results
**Relative energy among the computed polymorphs**: 1170 meV/atom
**Formation energy from the elements**: 1.74 eV/atom
**Size of the total moment**: 0.50 μB/atom


[12]
DFT (PBE) results for a relaxed Mg2Ir crystal.

Cell lengths 6.217, 6.217, 6.217 Å; angles 90.00, 90.00, 90.00 degrees
Space group Fm-3m (No. 225)
One atom of each set of equivalent atoms:
Mg: 0.250 0.250 0.250
Ir: 0.000 0.000 0.000

Results
**Formation energy from the elements**: -0.10 eV/atom
**Size of the total moment**: 0.00 μB/atom


- Which value of size of the total moment does entry 1 give?
  0.20 μB/atom